# 1
A geometry-optimized Ti4NiOs3 structure, computed with PBE.

The space group is Pmmm (No. 47) and the conventional cell measures 3.094, 4.349 and 8.684 Å, with angles of 90.00, 90.00 and 90.00 degrees. The inequivalent atoms are Ti at (0.000, 0.000, 0.000), Ti at (0.000, 0.000, 0.500), Ti at (0.000, 0.500, 0.247), Ni at (0.500, 0.500, 0.000), Os at (0.500, 0.000, 0.247) and Os at (0.500, 0.500, 0.500).

For the formation energy, the calculation gives -0.601 eV per atom. The value obtained for the total magnetic moment is 0.610 μB/f.u. For the density of states at the Fermi level, the calculation gives 6.60 states/eV per cell.

# 2
A geometry-optimized CrTcW2 structure, computed with PBE.

The space group is F-43m (No. 216) and the conventional cell measures 6.192, 6.192 and 6.192 Å, with angles of 90.00, 90.00 and 90.00 degrees. The inequivalent atoms are Cr at (0.000, 0.000, 0.000), Tc at (0.250, 0.250, 0.250), W at (0.000, 0.000, 0.500) and W at (0.250, 0.250, 0.750).

For the formation energy, the calculation gives 0.099 eV per atom. The calculation puts the energy above the lowest structure with this stoichiometry at 31 kJ/mol of formula units. The value obtained for the total magnetic moment is 0.659 μB/f.u. For the density of states at the Fermi level, the calculation gives 14.20 states/eV per cell.

# 3
A geometry-optimized AlTeOF2 structure, computed with PBE.

The space group is P4/mmm (No. 123) and the conventional cell measures 4.432, 4.432 and 3.445 Å, with angles of 90.00, 90.00 and 90.00 degrees. The inequivalent atoms are Al at (0.000, 0.000, 0.000), Te at (0.500, 0.500, 0.500), O at (0.000, 0.000, 0.500) and F at (0.000, 0.500, 0.000).

The uncorrected formation energy comes out at -1661 meV per atom. The calculation puts the energy above the lowest structure with this stoichiometry at 0 kJ/mol of formula units. The value obtained for the total magnetic moment is 1.129 μB/f.u. For the density of states at the Fermi level, the calculation gives 2.42 states/eV per cell.

# 4
A geometry-optimized LaPmSc2Tl4 structure, computed with PBE.

The space group is R-3m (No. 166, hexagonal axes) and the conventional cell measures 5.3448, 5.3448 and 26.2751 Å, with angles of 90.00, 90.00 and 120.00 degrees. The inequivalent atoms are La at (0.0000, 0.0000, 0.0000), Pm at (0.0000, 0.0000, 0.5000), Sc at (0.0000, 0.0000, 0.2498), Tl at (0.0000, 0.0000, 0.1263) and Tl at (0.0000, 0.0000, 0.3764).

For the formation energy, the calculation gives -0.314 eV per atom. The value obtained for the total magnetic moment is 0.000 μB/f.u. For the density of states at the Fermi level, the calculation gives 20.56 states/eV per cell.

# 5
A geometry-optimized CdMoPbC2 structure, computed with PBE.

The space group is P4/mmm (No. 123) and the conventional cell measures 4.180, 4.180 and 5.657 Å, with angles of 90.00, 90.00 and 90.00 degrees. The inequivalent atoms are Cd at (0.000, 0.000, 0.000), Mo at (0.500, 0.500, 0.500), Pb at (0.000, 0.000, 0.500) and C at (0.000, 0.500, 0.000).

For the formation energy, the calculation gives 2.953 eV per atom. The value obtained for the total magnetic moment is 0.000 μB/f.u. For the density of states at the Fermi level, the calculation gives 6.65 states/eV per cell.

# 6
A geometry-optimized LiAlSb2Pb structure, computed with PBE.

The space group is P4/mmm (No. 123) and the conventional cell measures 5.401, 5.401 and 4.879 Å, with angles of 90.00, 90.00 and 90.00 degrees. The inequivalent atoms are Li at (0.000, 0.000, 0.000), Al at (0.000, 0.000, 0.500), Sb at (0.000, 0.500, 0.500) and Pb at (0.500, 0.500, 0.000).

The uncorrected formation energy comes out at 251 meV per atom. The value obtained for the total magnetic moment is 0.000 μB/f.u. For the density of states at the Fermi level, the calculation gives 3.18 states/eV per cell.